1.
DFT (PBE) results for a relaxed NaAcTm crystal.

Cell lengths 3.7364, 3.7364, 9.3615 Å; angles 90.00, 90.00, 120.00 degrees
Sites, in units of the cell vectors:
1 Na 0.0000 0.0000 0.0000
2 Ac 0.6667 0.3333 0.3608
3 Tm 0.3333 0.6667 0.6713

Summary:
* M_tot: 0.36 μB per cell
* energy above the lowest structure with this stoichiometry: 0 meV per atom



2.
DFT (PBE) results for a relaxed LaTcHg2 crystal.

Cell lengths 5.0858, 5.0858, 5.0858 Å; angles 60.00, 60.00, 60.00 degrees
Sites, in units of the cell vectors:
1 La 0.0000 0.0000 0.0000
2 Tc 0.5000 0.5000 0.5000
3 Hg 0.2500 0.2500 0.2500
4 Hg 0.7500 0.7500 0.7500

Summary:
* M_tot: 0.00 μB per cell
* energy above the lowest structure with this stoichiometry: 138 meV per atom



3.
DFT (PBE) results for a relaxed MgPd8Pb2 crystal.

Cell lengths 7.5633, 7.5633, 7.5633 Å; angles 148.97, 117.75, 71.18 degrees
Sites, in units of the cell vectors:
1 Mg 0.0000 0.0000 0.0000
2 Pd 0.0851 0.8352 0.2498
3 Pd 0.1636 0.6636 0.5000
4 Pd 0.2453 0.5000 0.7453
5 Pd 0.4146 0.1648 0.2498
6 Pd 0.5854 0.8352 0.7502
7 Pd 0.7547 0.5000 0.2547
8 Pd 0.8364 0.3364 0.5000
9 Pd 0.9149 0.1648 0.7502
10 Pb 0.3419 0.3419 0.0000
11 Pb 0.6581 0.6581 0.0000

Summary:
* M_tot: 0.00 μB per cell
* energy above the lowest structure with this stoichiometry: 0 meV per atom



4.
DFT (PBE) results for a relaxed HoTmIn2 crystal.

Cell lengths 5.5344, 5.5344, 3.4655 Å; angles 90.00, 90.00, 103.46 degrees
Sites, in units of the cell vectors:
1 Ho 0.0000 0.0000 0.0000
2 Tm 0.5000 0.5000 0.0000
3 In 0.0000 0.5000 0.5000
4 In 0.5000 0.0000 0.5000

Summary:
* M_tot: 0.00 μB per cell



| no. | formation energy from the elements (eV per atom) |
| --- | --- |
| 1 | 0.1753 |
| 2 | 0.2707 |
| 3 | -0.3227 |
| 4 | -0.4410 |